## PmCd3Pd4 (PBE)

Data for a relaxed structure of PmCd3Pd4.

Cell: 4.8474 6.5481 9.5402 Å, 90.00 90.00 90.00°
Fractional positions:
Cd  0.0000  0.0000  0.0000
Cd  0.0000  0.0000  0.5000
Cd  0.5667  0.0000  0.7500
Cd  0.4333  0.0000  0.2500
Cd  0.5342  0.5000  0.7500
Cd  0.4658  0.5000  0.2500
Pd  0.5000  0.7645  0.0000
Pd  0.5000  0.7645  0.5000
Pd  0.5000  0.2355  0.0000
Pd  0.5000  0.2355  0.5000
Pd  0.0718  0.7698  0.7500
Pd  0.9282  0.7698  0.2500
Pd  0.9282  0.2302  0.2500
Pd  0.0718  0.2302  0.7500
Pm  0.0000  0.5000  0.0000
Pm  0.0000  0.5000  0.5000

## Properties
DFT formation energy (kJ/mol of atoms): -51
Calculated total energy (eV for the cell shown): -65.0

## PmCd2Pd (PBE)

Data for a relaxed structure of PmCd2Pd.

Cell: 5.1538 4.2253 4.2253 Å, 90.00 90.00 90.00°
Fractional positions:
Cd  0.0000  0.0000  0.5000
Cd  0.0000  0.5000  0.0000
Pd  0.5000  0.5000  0.5000
Pm  0.5000  0.0000  0.0000

## Properties
DFT formation energy (kJ/mol of atoms): -36
Calculated total energy (eV for the cell shown): -13.3
Offset from the most stable computed form (meV per atom): 182